An optimized crystal structure of LaB2Rh2C, computed with PBE. Values from VASP.

The structure in Quantum ESPRESSO input format:
```
&SYSTEM
  ibrav = 0, nat = 6, ntyp = 4
/
ATOMIC_SPECIES
B 10.81 B.upf
Rh 102.91 Rh.upf
La 138.91 La.upf
C 12.01 C.upf
ATOMIC_POSITIONS crystal
B 0.8557 0.8557 0.7102
Rh 0.7500 0.2500 0.5000
Rh 0.2500 0.7500 0.5000
B 0.1444 0.1444 0.2898
La 0.5000 0.5000 0.0000
C 0.0000 0.0000 0.0000
CELL_PARAMETERS angstrom
3.9014 0.0001 -0.0127
0.0001 3.9014 -0.0126
-1.9434 -1.9435 5.1983
```

Values from the calculation:
ΔH_f (0 K), eV/atom: -0.5958
VASP energy, Ry per atom: -0.56084
Density, kg/m3: 7960

An optimized crystal structure of Ca2CrHg, computed with PBE. Values from VASP.

The structure in Quantum ESPRESSO input format:
```
&SYSTEM
  ibrav = 0, nat = 4, ntyp = 3
/
ATOMIC_SPECIES
Ca 40.08 Ca.upf
Cr 52.00 Cr.upf
Hg 200.59 Hg.upf
ATOMIC_POSITIONS crystal
Ca 0.0000 0.0000 0.0000
Cr 0.5000 0.5000 0.0000
Hg 0.7500 0.2500 0.5000
Ca 0.2500 0.7500 0.5000
CELL_PARAMETERS angstrom
5.8711 0.0453 0.0000
2.1365 5.4688 0.0000
-4.0038 -2.7570 3.2925
```

Values from the calculation:
ΔH_f (0 K), eV/atom: 0.1560
VASP energy, Ry per atom: -0.24446
Density, kg/m3: 5242

An optimized crystal structure of Rb4Dy3ZrTe8, computed with PBE. Values from VASP.

The structure in Quantum ESPRESSO input format:
```
&SYSTEM
  ibrav = 0, nat = 16, ntyp = 4
/
ATOMIC_SPECIES
Te 127.60 Te.upf
Dy 162.50 Dy.upf
Rb 85.47 Rb.upf
Zr 91.22 Zr.upf
ATOMIC_POSITIONS crystal
Te 0.7426 0.6971 0.9699
Te 0.7338 0.7014 0.4677
Dy 0.5000 0.5000 0.0000
Te 0.2574 0.3029 0.0301
Dy 0.5000 0.5000 0.5000
Rb 0.0000 0.0000 0.0000
Te 0.7727 0.3029 0.0301
Te 0.2273 0.6971 0.4546
Te 0.2273 0.6971 0.9699
Te 0.2662 0.2986 0.5323
Rb 0.5000 0.0000 0.0000
Te 0.7727 0.3029 0.5454
Rb 0.0000 0.0000 0.5000
Zr 0.0000 0.5000 0.0000
Rb 0.5000 0.0000 0.5000
Dy 0.0000 0.5000 0.5000
CELL_PARAMETERS angstrom
8.9124 0.0000 0.0000
0.0000 9.9673 0.7456
-4.4562 -4.4580 6.3018
```

Values from the calculation:
Formation energy without anion corrections, eV per atom: -1.26
VASP energy, Ry per atom: -0.32835
Density, kg/m3: 5469